# AgRuO3

A relaxed AgRuO3 crystal (PBE, the Alexandria database).

Structure (POSCAR):
```
AgRuO3
1.0
-2.086 0.416 2.291
-3.927 -2.014 -3.200
1.415 -6.757 2.517
Ru O Ag
2 6 2
Direct
0.000 0.000 0.750
0.000 0.000 0.250
0.500 0.245 0.750
0.500 0.755 0.750
0.500 0.755 0.250
0.000 0.000 0.500
0.500 0.245 0.250
0.000 0.000 0.000
0.500 0.500 0.500
0.500 0.500 0.000
```

Values from the calculation:
**Size of the total moment**: 0.0 μB/f.u.
**Total DFT energy (no corrections)**: -6.035 eV per atom
**Energy relative to the elements, uncorrected**: -634.5 meV per atom

***

# AgRuO3

A relaxed AgRuO3 crystal (PBE, the Alexandria database).

Structure (POSCAR):
```
AgRuO3
1.0
-3.356 -1.487 1.047
3.766 -0.768 4.022
-2.071 5.836 1.651
O Ru Ag
6 2 2
Direct
0.676 0.352 0.952
0.324 0.648 0.048
0.057 0.114 0.180
0.943 0.886 0.820
0.159 0.317 0.625
0.841 0.683 0.375
0.132 0.263 0.907
0.868 0.737 0.093
0.617 0.235 0.415
0.383 0.765 0.585
```

Values from the calculation:
**Size of the total moment**: 0.0 μB/f.u.
**Total DFT energy (no corrections)**: -5.973 eV per atom
**Energy relative to the elements, uncorrected**: -572.5 meV per atom

***

# AgRu2O

A relaxed AgRu2O crystal (PBE, the Alexandria database).

Structure (POSCAR):
```
AgRu2O
1.0
6.352 0.000 0.000
0.000 6.352 0.000
3.176 3.176 2.967
Ag O Ru
2 2 4
Direct
0.000 0.000 0.000
0.750 0.250 0.500
0.500 0.500 0.000
0.250 0.750 0.500
0.505 0.125 0.250
0.375 0.495 0.750
0.245 0.625 0.250
0.875 0.755 0.750
```

Values from the calculation:
**Size of the total moment**: 0.0 μB/f.u.
**Total DFT energy (no corrections)**: -6.174 eV per atom
**Energy relative to the elements, uncorrected**: 416.3 meV per atom

***

# Ag3RuO4

A relaxed Ag3RuO4 crystal (PBE, the Alexandria database).

Structure (POSCAR):
```
Ag3RuO4
1.0
-2.624 5.476 -4.074
-6.730 -1.351 2.519
1.301 5.338 6.337
Ag O Ru
12 16 4
Direct
0.500 0.201 0.500
0.251 0.000 0.250
0.500 0.799 0.000
0.000 0.749 0.000
0.814 0.000 0.250
0.000 0.814 0.500
0.201 0.500 0.250
0.186 0.000 0.750
0.000 0.186 0.000
0.000 0.251 0.500
0.799 0.500 0.750
0.749 0.000 0.750
0.904 0.310 0.262
0.308 0.482 0.985
0.482 0.692 0.735
0.904 0.690 0.238
0.518 0.692 0.265
0.692 0.518 0.485
0.482 0.308 0.765
0.310 0.904 0.488
0.096 0.310 0.738
0.690 0.904 0.512
0.310 0.096 0.012
0.308 0.518 0.515
0.690 0.096 0.988
0.096 0.690 0.762
0.692 0.482 0.015
0.518 0.308 0.235
0.283 0.500 0.750
0.500 0.717 0.500
0.500 0.283 0.000
0.717 0.500 0.250
```

Values from the calculation:
**Size of the total moment**: 2.8 μB/f.u.
**Total DFT energy (no corrections)**: -5.062 eV per atom
**Energy relative to the elements, uncorrected**: -354.4 meV per atom

***

# AgRu2O8

A relaxed AgRu2O8 crystal (PBE, the Alexandria database).

Structure (POSCAR):
```
AgRu2O8
1.0
6.399 0.000 0.000
-3.200 5.565 -2.014
0.000 -0.422 5.952
O Ag Ru
8 1 2
Direct
0.650 0.731 0.246
0.645 0.290 0.181
0.847 0.695 0.650
0.355 0.710 0.819
0.153 0.305 0.350
0.919 0.269 0.754
0.081 0.731 0.246
0.350 0.269 0.754
0.000 0.000 0.000
0.804 0.607 0.330
0.196 0.393 0.670
```

Values from the calculation:
**Size of the total moment**: 1.0 μB/f.u.
**Total DFT energy (no corrections)**: -6.088 eV per atom
**Energy relative to the elements, uncorrected**: -536.3 meV per atom

***

# AgRuO3

A relaxed AgRuO3 crystal (PBE, the Alexandria database).

Structure (POSCAR):
```
AgRuO3
1.0
-5.645 3.853 2.288
-5.252 -3.190 3.767
-0.779 1.431 7.021
O Ag Ru
12 4 4
Direct
0.303 0.697 0.697
0.697 0.697 0.303
0.303 0.697 0.303
0.697 0.303 0.697
0.697 0.303 0.303
0.947 0.553 0.947
0.553 0.947 0.947
0.947 0.553 0.553
0.553 0.947 0.553
0.303 0.303 0.697
0.947 0.947 0.553
0.553 0.553 0.947
0.125 0.625 0.125
0.125 0.125 0.125
0.625 0.125 0.125
0.125 0.125 0.625
0.125 0.625 0.625
0.625 0.125 0.625
0.625 0.625 0.625
0.625 0.625 0.125
```

Values from the calculation:
**Size of the total moment**: 0.0 μB/f.u.
**Total DFT energy (no corrections)**: -5.972 eV per atom
**Energy relative to the elements, uncorrected**: -571.5 meV per atom

***

# AgRuO3

A relaxed AgRuO3 crystal (PBE, the Alexandria database).

Structure (POSCAR):
```
AgRuO3
1.0
-1.024 -1.603 -3.359
3.446 -1.726 -0.228
-1.407 -3.059 1.889
O Ru Ag
3 1 1
Direct
0.000 0.000 0.500
0.500 0.000 0.000
0.000 0.500 0.000
0.000 0.000 0.000
0.500 0.500 0.500
```

Values from the calculation:
**Size of the total moment**: 0.0 μB/f.u.
**Total DFT energy (no corrections)**: -5.825 eV per atom
**Energy relative to the elements, uncorrected**: -424.6 meV per atom

***

# Ag4Ru6O19

A relaxed Ag4Ru6O19 crystal (PBE, the Alexandria database).

Structure (POSCAR):
```
Ag4Ru6O19
1.0
7.499 0.000 -2.651
-3.749 6.494 -2.651
0.000 0.000 7.954
O Ru Ag
19 6 4
Direct
0.954 0.653 0.270
0.684 0.730 0.383
0.630 0.630 0.000
0.270 0.954 0.653
0.617 0.347 0.301
0.046 0.316 0.699
0.000 0.370 0.370
0.730 0.383 0.684
0.000 0.630 0.630
0.316 0.699 0.046
0.630 0.000 0.630
0.301 0.617 0.347
0.653 0.270 0.954
0.383 0.684 0.730
0.370 0.370 0.000
0.370 0.000 0.370
0.699 0.046 0.316
0.347 0.301 0.617
0.000 0.000 0.000
0.500 0.834 0.334
0.166 0.666 0.500
0.500 0.166 0.666
0.666 0.500 0.166
0.834 0.334 0.500
0.334 0.500 0.834
0.000 0.724 0.000
0.724 0.000 0.000
0.276 0.276 0.276
0.000 0.000 0.724
```

Values from the calculation:
**Size of the total moment**: 0.0 μB/f.u.
**Total DFT energy (no corrections)**: -6.145 eV per atom
**Energy relative to the elements, uncorrected**: -583.7 meV per atom

***

# AgSbRuO2

A relaxed AgSbRuO2 crystal (PBE, the Alexandria database).

Structure (POSCAR):
```
AgSbRuO2
1.0
3.811 0.000 0.000
0.000 6.132 0.000
0.000 0.000 3.811
O Ag Ru Sb
2 1 1 1
Direct
0.500 0.000 0.000
0.000 0.000 0.500
0.000 0.500 0.000
0.000 0.000 0.000
0.500 0.500 0.500
```

Values from the calculation:
**Size of the total moment**: 0.8 μB/f.u.
**Total DFT energy (no corrections)**: -5.372 eV per atom
**Energy relative to the elements, uncorrected**: -138.6 meV per atom

***

# Sr2Ag3RuO6

A relaxed Sr2Ag3RuO6 crystal (PBE, the Alexandria database).

Structure (POSCAR):
```
Sr2Ag3RuO6
1.0
6.098 -0.184 0.994
-3.207 5.190 0.994
-0.012 -0.021 6.645
Ru O Sr Ag
1 6 2 3
Direct
0.000 0.000 0.000
0.335 0.335 0.828
0.939 0.212 0.172
0.212 0.939 0.172
0.665 0.665 0.172
0.061 0.788 0.828
0.788 0.061 0.828
0.667 0.333 0.000
0.333 0.667 0.000
0.865 0.135 0.500
0.135 0.865 0.500
0.500 0.500 0.500
```

Values from the calculation:
**Size of the total moment**: 2.9 μB/f.u.
**Total DFT energy (no corrections)**: -5.533 eV per atom
**Energy relative to the elements, uncorrected**: -1287.9 meV per atom

***

# SrAgRu2O8

A relaxed SrAgRu2O8 crystal (PBE, the Alexandria database).

Structure (POSCAR):
```
SrAgRu2O8
1.0
-5.284 1.175 0.441
-2.915 -3.247 -3.233
-1.115 -5.198 5.537
O Ru Sr Ag
8 2 1 1
Direct
0.238 0.722 0.759
0.248 0.248 0.952
0.729 0.729 0.431
0.762 0.278 0.241
0.278 0.762 0.241
0.271 0.271 0.569
0.722 0.238 0.759
0.752 0.752 0.048
0.371 0.371 0.762
0.629 0.629 0.238
0.000 0.000 0.500
0.000 0.000 0.000
```

Values from the calculation:
**Size of the total moment**: 3.0 μB/f.u.
**Total DFT energy (no corrections)**: -6.284 eV per atom
**Energy relative to the elements, uncorrected**: -1055.1 meV per atom

***

# AgTeRuO6

A relaxed AgTeRuO6 crystal (PBE, the Alexandria database).

Structure (POSCAR):
```
AgTeRuO6
1.0
-3.810 -2.138 -2.953
3.742 -3.065 2.100
-5.645 -1.271 8.204
O Ag Te Ru
12 2 2 2
Direct
0.001 0.625 0.359
0.375 0.376 0.359
0.624 0.625 0.141
0.625 0.624 0.641
0.999 0.624 0.859
0.376 0.375 0.859
0.376 0.001 0.641
0.625 0.001 0.859
0.624 0.999 0.359
0.001 0.376 0.141
0.999 0.375 0.641
0.375 0.999 0.141
0.000 0.000 0.500
0.000 0.000 0.000
0.333 0.667 0.750
0.667 0.333 0.250
0.333 0.667 0.250
0.667 0.333 0.750
```

Values from the calculation:
**Size of the total moment**: 2.3 μB/f.u.
**Total DFT energy (no corrections)**: -5.753 eV per atom
**Energy relative to the elements, uncorrected**: -750.6 meV per atom